1.
Below is a relaxed LaZnPb crystal, with properties calculated at the PBE-GGA level.

Calculated values
Space-group type: No. 107
ΔE_f: -0.28 eV/atom
Calculated total energy: -3.584 eV/atom

Unit cell a=6.535 b=6.535 c=6.535 alpha=147.27 beta=147.27 gamma=46.96
Positions (direct):
La1 0.000 0.000 0.000
Zn1 0.339 0.339 0.000
Pb1 0.704 0.704 0.000


2.
Below is a relaxed La6ZnPb crystal, with properties calculated at the PBE-GGA level.

Calculated values
Space-group type: No. 139
ΔE_f: -0.20 eV/atom
Calculated total energy: -4.517 eV/atom

Unit cell a=9.851 b=9.851 c=9.851 alpha=148.09 beta=148.09 gamma=45.75
Positions (direct):
La1 0.110 0.610 0.500
La2 0.249 0.249 0.000
La3 0.390 0.890 0.500
La4 0.610 0.110 0.500
La5 0.751 0.751 0.000
La6 0.890 0.390 0.500
Zn1 0.500 0.500 0.000
Pb1 0.000 0.000 0.000


3.
Below is a relaxed La4ZnPb crystal, with properties calculated at the PBE-GGA level.

Calculated values
Space-group type: No. 216
ΔE_f: 0.17 eV/atom
Calculated total energy: -3.942 eV/atom

Unit cell a=6.509 b=6.509 c=6.509 alpha=60.00 beta=60.00 gamma=60.00
Positions (direct):
La1 0.123 0.123 0.123
La2 0.123 0.123 0.630
La3 0.123 0.630 0.123
La4 0.630 0.123 0.123
Zn1 0.500 0.500 0.500
Pb1 0.750 0.750 0.750


4.
Below is a relaxed LaZn2Pb crystal, with properties calculated at the PBE-GGA level.

Calculated values
Space-group type: No. 119
ΔE_f: -0.15 eV/atom
Calculated total energy: -2.949 eV/atom

Unit cell a=5.707 b=5.707 c=5.707 alpha=131.94 beta=131.94 gamma=70.33
Positions (direct):
La1 0.000 0.000 0.000
Zn1 0.500 0.500 0.000
Zn2 0.750 0.250 0.500
Pb1 0.250 0.750 0.500


5.
Below is a relaxed LaZn2Pb crystal, with properties calculated at the PBE-GGA level.

Calculated values
Space-group type: No. 123
ΔE_f: -0.27 eV/atom
Calculated total energy: -3.065 eV/atom

Unit cell a=4.634 b=4.634 c=4.602 alpha=90.00 beta=90.00 gamma=90.00
Positions (direct):
La1 0.000 0.000 0.000
Zn1 0.000 0.500 0.500
Zn2 0.500 0.000 0.500
Pb1 0.500 0.500 0.000


6.
Below is a relaxed La2ZrPb crystal, with properties calculated at the PBE-GGA level.

Calculated values
Space-group type: No. 6
ΔE_f: -0.18 eV/atom
Calculated total energy: -5.710 eV/atom

Unit cell a=3.568 b=5.525 c=6.048 alpha=90.00 beta=90.06 gamma=90.00
Positions (direct):
La1 0.000 0.000 0.000
La2 0.003 0.500 0.636
Zr1 0.501 0.000 0.471
Pb1 0.501 0.500 0.164


7.
Below is a relaxed LaZr2Pb crystal, with properties calculated at the PBE-GGA level.

Calculated values
Space-group type: No. 216
ΔE_f: 0.04 eV/atom
Calculated total energy: -6.393 eV/atom

Unit cell a=5.300 b=5.300 c=5.300 alpha=60.00 beta=60.00 gamma=60.00
Positions (direct):
La1 0.000 0.000 0.000
Zr1 0.250 0.250 0.250
Zr2 0.500 0.500 0.500
Pb1 0.750 0.750 0.750


8.
Below is a relaxed LaZr2Pb crystal, with properties calculated at the PBE-GGA level.

Calculated values
Space-group type: No. 139
ΔE_f: -0.05 eV/atom
Calculated total energy: -6.483 eV/atom

Unit cell a=5.820 b=5.820 c=5.820 alpha=132.84 beta=132.84 gamma=68.90
Positions (direct):
La1 0.000 0.000 0.000
Zr1 0.250 0.750 0.500
Zr2 0.750 0.250 0.500
Pb1 0.500 0.500 0.000


Please write out number 3 again, unchanged.
Below is a relaxed La4ZnPb crystal, with properties calculated at the PBE-GGA level.

Calculated values
Space-group type: No. 216
ΔE_f: 0.17 eV/atom
Calculated total energy: -3.942 eV/atom

Unit cell a=6.509 b=6.509 c=6.509 alpha=60.00 beta=60.00 gamma=60.00
Positions (direct):
La1 0.123 0.123 0.123
La2 0.123 0.123 0.630
La3 0.123 0.630 0.123
La4 0.630 0.123 0.123
Zn1 0.500 0.500 0.500
Pb1 0.750 0.750 0.750


Question: Look up the calculated total energy of the fifth one.
Answer: -3.065 eV/atom


Question: Number 2 is which compound?
Answer: La6ZnPb